No. 1
This record from OQMD via LeMat-Bulk describes CsYAu after structural relaxation. The functional is PBE.

abc: 5.405 5.405 5.405
angles: 60.00 60.00 60.00
Element x y z (fractional)
1 Cs 0.000 0.000 0.000
2 Y 0.500 0.500 0.500
3 Au 0.250 0.250 0.250

Calculated values
* space group: F-43m
* relative energy among the computed polymorphs: 0 meV/atom

No. 2
This record from OQMD via LeMat-Bulk describes Ta2Ni after structural relaxation. The functional is PBE.

abc: 5.391 5.391 15.927
angles: 90.00 90.00 120.00
Element x y z (fractional)
1 Ta 0.000 0.000 0.088
2 Ta 0.000 0.000 0.412
3 Ta 0.000 0.000 0.588
4 Ta 0.000 0.000 0.912
5 Ta 0.000 0.500 0.000
6 Ta 0.000 0.500 0.500
7 Ta 0.165 0.330 0.250
8 Ta 0.165 0.835 0.250
9 Ta 0.330 0.165 0.750
10 Ta 0.500 0.000 0.000
11 Ta 0.500 0.000 0.500
12 Ta 0.500 0.500 0.000
13 Ta 0.500 0.500 0.500
14 Ta 0.670 0.835 0.250
15 Ta 0.835 0.165 0.750
16 Ta 0.835 0.670 0.750
17 Ni 0.333 0.667 0.127
18 Ni 0.333 0.667 0.373
19 Ni 0.333 0.667 0.666
20 Ni 0.333 0.667 0.834
21 Ni 0.667 0.333 0.166
22 Ni 0.667 0.333 0.334
23 Ni 0.667 0.333 0.627
24 Ni 0.667 0.333 0.873

Calculated values
* space group: P6_3/mmc
* energy of formation from the pure elements: 77 kJ/mol of formula units

No. 3
This record from OQMD via LeMat-Bulk describes PrGe2PdAu after structural relaxation. The functional is PBE.

abc: 4.430 4.430 10.309
angles: 90.00 90.00 90.00
Element x y z (fractional)
1 Pr 0.250 0.250 0.245
2 Pr 0.750 0.750 0.755
3 Ge 0.250 0.250 0.644
4 Ge 0.250 0.750 0.000
5 Ge 0.750 0.250 0.000
6 Ge 0.750 0.750 0.356
7 Pd 0.250 0.250 0.882
8 Pd 0.750 0.750 0.118
9 Au 0.250 0.750 0.500
10 Au 0.750 0.250 0.500

Calculated values
* space group: P4/nmm

No. 4
This record from OQMD via LeMat-Bulk describes HoTlFe after structural relaxation. The functional is PBE.

abc: 4.644 4.644 4.644
angles: 60.00 60.00 60.00
Element x y z (fractional)
1 Ho 0.000 0.000 0.000
2 Tl 0.500 0.500 0.500
3 Fe 0.250 0.250 0.250

Calculated values
* space group: F-43m

No. 5
This record from OQMD via LeMat-Bulk describes LiLa2Zn after structural relaxation. The functional is PBE.

abc: 5.163 5.163 5.163
angles: 60.00 60.00 60.00
Element x y z (fractional)
1 Li 0.000 0.000 0.000
2 La 0.250 0.250 0.250
3 La 0.500 0.500 0.500
4 Zn 0.750 0.750 0.750

Calculated values
* space group: F-43m

No. 6
This record from OQMD via LeMat-Bulk describes KGePIr2 after structural relaxation. The functional is PBE.

abc: 7.011 7.011 7.011
angles: 146.53 146.53 48.07
Element x y z (fractional)
1 K 0.000 0.000 0.000
2 Ge 0.646 0.646 0.000
3 P 0.352 0.352 0.000
4 Ir 0.261 0.761 0.500
5 Ir 0.761 0.261 0.500

Calculated values
* space group: I4mm

| no. | total magnetic moment (μB/f.u.) | E (eV/f.u.) | mass density (kg/m3) |
| --- | --- | --- | --- |
| 1 | 0.01 | -9.69 | 6227 |
| 2 | 0.00 | -28.47 | 13937 |
| 3 | 0.00 | -26.06 | 9677 |
| 4 | 1.71 | -14.43 | 9966 |
| 5 | 0.68 | -12.86 | 5975 |
| 6 | 0.00 | -31.43 | 8383 |